# Sc2TaAg | Alexandria via LeMat-Bulk | SCAN | PBEsol geometry
# VASP energy = -31.6697 eV/atom
# Energy of formation = -64 meV/atom
# Density of states at the Fermi level = 3.62 states/eV/f.u.
# Relative energy among the computed polymorphs = 0 meV per atom
data_Sc2TaAg
_cell_length_a 3.071
_cell_length_b 3.071
_cell_length_c 8.183
_cell_angle_alpha 90.00
_cell_angle_beta 90.00
_cell_angle_gamma 90.00
_space_group_name_H-M_alt 'P 1'
_space_group_IT_number 1
_space_group_name_Hall 'P 1'
loop_
_atom_site_label
_atom_site_fract_x
_atom_site_fract_y
_atom_site_fract_z
Sc1 0.000 0.000 0.246
Sc2 0.000 0.000 0.754
Ta1 0.500 0.500 0.500
Ag1 0.500 0.500 0.000